K2TaP | GGA-PBEsol | relaxed

Unit cell a=3.8221 b=3.8221 c=5.8098 alpha=90.00 beta=90.00 gamma=90.00
Last column: nearest neighbours and their distance in Å.
Element x y z (fractional)
K: 0.0000 0.5000 0.0000  4 K 2.70
K: 0.5000 0.0000 0.0000  4 K 2.70
Ta: 0.0000 0.0000 0.5000  4 P 2.70
P: 0.5000 0.5000 0.5000  4 Ta 2.70

Results
Mass density (g/cm³): 5.68
Energy of formation (eV/atom): 0.76
DFT total energy (eV per atom): -4.392

KVOF3 | GGA-PBEsol | relaxed

Unit cell a=7.7388 b=7.7388 c=7.1674 alpha=102.64 beta=102.64 gamma=58.01
Last column: nearest neighbours and their distance in Å.
Element x y z (fractional)
K: 0.1092 0.1092 0.2643  6 F 2.64-2.87, 2 O 2.78
K: 0.3560 0.3560 0.6439  7 F 2.65-2.89, 2 O 2.75
K: 0.6440 0.6440 0.3561  7 F 2.65-2.89, 2 O 2.75
K: 0.8908 0.8908 0.7357  6 F 2.64-2.87, 2 O 2.78
V: 0.1085 0.6013 0.1828  1 O 1.61
V: 0.3987 0.8915 0.8172  1 O 1.61
V: 0.6013 0.1085 0.1828  1 O 1.61
V: 0.8915 0.3987 0.8172  1 O 1.61
O: 0.2629 0.6885 0.2239  1 V 1.61
O: 0.3115 0.7371 0.7761  1 V 1.61
O: 0.6885 0.2629 0.2239  1 V 1.61
O: 0.7371 0.3115 0.7761  1 V 1.61
F: 0.0304 0.6354 0.4227  1 V 1.86
F: 0.0974 0.5239 0.9046  1 V 1.95
F: 0.1407 0.1407 0.8823  2 V 1.96
F: 0.3138 0.3138 0.2307  2 V 1.99
F: 0.3646 0.9696 0.5773  1 V 1.86
F: 0.4761 0.9026 0.0954  1 V 1.95
F: 0.5239 0.0974 0.9046  1 V 1.95
F: 0.6354 0.0304 0.4227  1 V 1.86
F: 0.6862 0.6862 0.7693  2 V 1.99
F: 0.8593 0.8593 0.1177  2 V 1.96
F: 0.9026 0.4761 0.0954  1 V 1.95
F: 0.9696 0.3646 0.5773  1 V 1.86

Results
Mass density (g/cm³): 3.07
Raw formation energy (eV/atom): -2.782
DFT total energy (eV per atom): -6.415

ZrC | GGA-PBEsol | relaxed

Unit cell a=4.6165 b=4.6165 c=4.6165 alpha=51.67 beta=51.67 gamma=51.67
Last column: nearest neighbours and their distance in Å.
Element x y z (fractional)
Zr: 0.2438 0.2438 0.2438  4 C 2.19-2.35
Zr: 0.7562 0.7562 0.7562  4 C 2.19-2.35
C: 0.0604 0.0604 0.0604  1 C 1.45
C: 0.9396 0.9396 0.9396  1 C 1.45

Results
Excess energy over the best structure of this formula in the dataset (eV/atom): 0.7962
Mass density (g/cm³): 6.13
Energy of formation (eV/atom): -0.12
DFT total energy (eV per atom): -9.490

ThInRu2 | GGA-PBEsol | relaxed

Unit cell a=4.7237 b=4.7237 c=4.7237 alpha=60.00 beta=60.00 gamma=60.00
Last column: nearest neighbours and their distance in Å.
Element x y z (fractional)
Th: 0.0000 0.0000 0.0000  8 Ru 2.89
In: 0.5000 0.5000 0.5000  8 Ru 2.89
Ru: 0.2500 0.2500 0.2500  4 In 2.89, 4 Th 2.89
Ru: 0.7500 0.7500 0.7500  4 In 2.89, 4 Th 2.89

Results
Mass density (g/cm³): 12.23
Energy of formation (eV/atom): -0.26
DFT total energy (eV per atom): -8.116

ZrH12C2N6F6 | GGA-PBEsol | relaxed

Unit cell a=8.1408 b=8.1500 c=9.9978 alpha=99.95 beta=103.79 gamma=115.60
Last column: nearest neighbours and their distance in Å.
Element x y z (fractional)
Zr: 0.0031 0.3521 0.3410  7 F 2.01-2.19
Zr: 0.9969 0.6479 0.6590  7 F 2.01-2.19
H: 0.1450 0.1994 0.0699  1 N 1.03
H: 0.1616 0.8492 0.4112  1 N 1.03
H: 0.1648 0.0675 0.4191  1 N 1.02
H: 0.1692 0.0586 0.9320  1 N 1.03
H: 0.2183 0.5081 0.0884  1 N 1.03
H: 0.2279 0.1695 0.7420  1 N 1.03
H: 0.2554 0.5893 0.9376  1 N 1.02
H: 0.2635 0.4011 0.7451  1 N 1.02
H: 0.3590 0.7824 0.3028  1 N 1.03
H: 0.4093 0.3104 0.3956  1 N 1.02
H: 0.4262 0.0193 0.6930  1 N 1.03
H: 0.4330 0.7255 0.6867  1 N 1.03
H: 0.5670 0.2745 0.3133  1 N 1.03
H: 0.5738 0.9807 0.3070  1 N 1.03
H: 0.5907 0.6896 0.6044  1 N 1.02
H: 0.6410 0.2176 0.6972  1 N 1.03
H: 0.7365 0.5989 0.2549  1 N 1.02
H: 0.7446 0.4107 0.0624  1 N 1.02
H: 0.7721 0.8305 0.2580  1 N 1.03
H: 0.7817 0.4919 0.9116  1 N 1.03
H: 0.8308 0.9414 0.0680  1 N 1.03
H: 0.8352 0.9325 0.5809  1 N 1.02
H: 0.8384 0.1508 0.5888  1 N 1.03
H: 0.8550 0.8006 0.9301  1 N 1.03
C: 0.2316 0.3278 0.9256  3 N 1.33-1.34
C: 0.3668 0.0400 0.3480  3 N 1.33-1.34
C: 0.6332 0.9600 0.6520  3 N 1.33-1.34
C: 0.7684 0.6722 0.0744  3 N 1.33-1.34
N: 0.2052 0.1937 0.9909  2 H 1.03
N: 0.2050 0.9713 0.3812  2 H 1.02-1.03
N: 0.2375 0.4891 0.9900  2 H 1.02-1.03
N: 0.2589 0.3039 0.7983  2 H 1.02-1.03
N: 0.4344 0.9240 0.3083  2 H 1.03
N: 0.4550 0.2225 0.3520  2 H 1.02-1.03
N: 0.5450 0.7775 0.6480  2 H 1.02-1.03
N: 0.5656 0.0760 0.6917  2 H 1.03
N: 0.7411 0.6961 0.2017  2 H 1.02-1.03
N: 0.7625 0.5109 0.0100  2 H 1.02-1.03
N: 0.7950 0.0287 0.6188  2 H 1.02-1.03
N: 0.7948 0.8063 0.0091  2 H 1.03
F: 0.0336 0.8072 0.8535  2 H 1.76-1.78
F: 0.0890 0.6373 0.4702  1 H 1.82
F: 0.1708 0.9273 0.6692  2 H 1.79-1.82
F: 0.1980 0.5392 0.2698  2 H 1.75-1.84
F: 0.2228 0.3376 0.4709  2 H 1.92-1.98, 1 Zr 2.01
F: 0.2411 0.6388 0.7561  2 H 1.78-1.91
F: 0.7589 0.3612 0.2439  2 H 1.78-1.91
F: 0.7772 0.6624 0.5291  2 H 1.92-1.98, 1 Zr 2.01
F: 0.8020 0.4608 0.7302  2 H 1.75-1.84
F: 0.8292 0.0727 0.3308  2 H 1.79-1.82
F: 0.9110 0.3627 0.5298  1 H 1.82
F: 0.9664 0.1928 0.1465  2 H 1.76-1.78

Results
Mass density (g/cm³): 1.96
DFT total energy (eV per atom): -6.096

LiPtRhCl2 | GGA-PBEsol | relaxed

Unit cell a=4.5303 b=4.5303 c=4.5990 alpha=90.00 beta=90.00 gamma=90.00
Last column: nearest neighbours and their distance in Å.
Element x y z (fractional)
Li: 0.0000 0.0000 0.0000  2 Rh 2.30
Pt: 0.5000 0.5000 0.0000  4 Li 3.20, 8 Cl 3.23
Rh: 0.0000 0.0000 0.5000  4 Cl 2.27, 2 Li 2.30
Cl: 0.0000 0.5000 0.5000  2 Rh 2.27
Cl: 0.5000 0.0000 0.5000  2 Rh 2.27

Results
Mass density (g/cm³): 6.61
Raw formation energy (eV/atom): 0.551
DFT total energy (eV per atom): -3.666

Re2IrBr | GGA-PBEsol | relaxed

Unit cell a=4.6013 b=4.6013 c=2.8378 alpha=90.00 beta=90.00 gamma=90.00
Last column: nearest neighbours and their distance in Å.
Element x y z (fractional)
Re: 0.0000 0.5000 0.0000  4 Br 2.70, 4 Ir 2.70, 2 Re 2.84
Re: 0.5000 0.0000 0.0000  4 Br 2.70, 4 Ir 2.70, 2 Re 2.84
Ir: 0.0000 0.0000 0.5000  8 Re 2.70, 2 Ir 2.84
Br: 0.5000 0.5000 0.5000  8 Re 2.70, 2 Br 2.84

Results
Mass density (g/cm³): 17.81
Raw formation energy (eV/atom): 1.018
DFT total energy (eV per atom): -8.571

Co3BiIr | GGA-PBEsol | relaxed

Unit cell a=4.5171 b=4.5171 c=4.5171 alpha=90.00 beta=90.00 gamma=90.00
Last column: nearest neighbours and their distance in Å.
Element x y z (fractional)
Co: 0.0000 0.0000 0.5000  2 Ir 2.26
Co: 0.0000 0.5000 0.0000  2 Ir 2.26
Co: 0.5000 0.0000 0.0000  2 Ir 2.26
Bi: 0.5000 0.5000 0.5000  12 Co 3.19
Ir: 0.0000 0.0000 0.0000  6 Co 2.26

Results
Mass density (g/cm³): 10.41
Energy of formation (eV/atom): 1.19
DFT total energy (eV per atom): -6.271

ZrZn13 | GGA-PBEsol | relaxed

Unit cell a=8.3416 b=8.3416 c=8.3416 alpha=60.00 beta=60.00 gamma=60.00
Last column: nearest neighbours and their distance in Å.
Element x y z (fractional)
Zr: 0.2500 0.2500 0.2500  24 Zn 3.42
Zr: 0.7500 0.7500 0.7500  24 Zn 3.42
Zn: 0.0000 0.0000 0.0000  12 Zn 2.56
Zn: 0.0588 0.3013 0.6987  9 Zn 2.44-2.65
Zn: 0.0588 0.6987 0.9412  9 Zn 2.44-2.65
Zn: 0.0588 0.9412 0.3013  9 Zn 2.44-2.65
Zn: 0.1987 0.4412 0.8013  9 Zn 2.44-2.65
Zn: 0.1987 0.5588 0.4412  9 Zn 2.44-2.65
Zn: 0.1987 0.8013 0.5588  9 Zn 2.44-2.65
Zn: 0.3013 0.0588 0.9412  9 Zn 2.44-2.65
Zn: 0.3013 0.6987 0.0588  9 Zn 2.44-2.65
Zn: 0.3013 0.9412 0.6987  9 Zn 2.44-2.65
Zn: 0.4412 0.1987 0.5588  9 Zn 2.44-2.65
Zn: 0.4412 0.5588 0.8013  9 Zn 2.44-2.65
Zn: 0.4412 0.8013 0.1987  9 Zn 2.44-2.65
Zn: 0.5000 0.5000 0.5000  12 Zn 2.56
Zn: 0.5588 0.1987 0.8013  9 Zn 2.44-2.65
Zn: 0.5588 0.4412 0.1987  9 Zn 2.44-2.65
Zn: 0.5588 0.8013 0.4412  9 Zn 2.44-2.65
Zn: 0.6987 0.0588 0.3013  9 Zn 2.44-2.65
Zn: 0.6987 0.3013 0.9412  9 Zn 2.44-2.65
Zn: 0.6987 0.9412 0.0588  9 Zn 2.44-2.65
Zn: 0.8013 0.1987 0.4412  9 Zn 2.44-2.65
Zn: 0.8013 0.4412 0.5588  9 Zn 2.44-2.65
Zn: 0.8013 0.5588 0.1987  9 Zn 2.44-2.65
Zn: 0.9412 0.0588 0.6987  9 Zn 2.44-2.65
Zn: 0.9412 0.3013 0.0588  9 Zn 2.44-2.65
Zn: 0.9412 0.6987 0.3013  9 Zn 2.44-2.65

Results
Mass density (g/cm³): 7.62
Energy of formation (eV/atom): -0.03
DFT total energy (eV per atom): -2.145

CrSNCl2 | GGA-PBEsol | relaxed

Unit cell a=4.0807 b=4.0807 c=4.6233 alpha=90.00 beta=90.00 gamma=90.00
Last column: nearest neighbours and their distance in Å.
Element x y z (fractional)
Cr: 0.0000 0.0000 0.0000  4 S 2.89, 8 Cl 3.08
S: 0.5000 0.5000 0.0000  2 N 2.31
N: 0.5000 0.5000 0.5000  4 Cl 2.04
Cl: 0.0000 0.5000 0.5000  2 N 2.04
Cl: 0.5000 0.0000 0.5000  2 N 2.04

Results
Mass density (g/cm³): 3.64
Raw formation energy (eV/atom): 0.930
DFT total energy (eV per atom): -4.504

Zn2InSi | GGA-PBEsol | relaxed

Unit cell a=3.2748 b=4.3231 c=5.5846 alpha=102.38 beta=90.08 gamma=112.22
Last column: nearest neighbours and their distance in Å.
Element x y z (fractional)
Zn: 0.0000 0.0000 0.0000  3 Zn 2.54-2.59, 3 Si 2.55-2.59
Zn: 0.2545 0.5126 0.8031  3 Zn 2.54-2.59, 2 Si 2.76-2.77, 3 In 2.81-2.84
In: 0.4947 0.9957 0.5107  3 Zn 2.81-2.84, 3 Si 2.86-2.91
Si: 0.7437 0.4850 0.1978  5 Zn 2.55-2.77

Results
Excess energy over the best structure of this formula in the dataset (eV/atom): 0.0211
Mass density (g/cm³): 6.38
Raw formation energy (eV/atom): 0.209
DFT total energy (eV per atom): -2.764

CoRePb2 | GGA-PBEsol | relaxed

Unit cell a=4.6309 b=4.6309 c=5.6002 alpha=104.58 beta=104.58 gamma=38.99
Last column: nearest neighbours and their distance in Å.
Element x y z (fractional)
Co: 0.0000 0.0000 0.0000  6 Pb 2.66-2.94
Re: 0.5000 0.5000 0.5000  6 Pb 2.81-2.85, 2 Re 3.09
Pb: 0.2607 0.2607 0.7595  3 Co 2.66-2.94, 3 Re 2.81-2.85
Pb: 0.7393 0.7393 0.2405  3 Co 2.66-2.94, 3 Re 2.81-2.85

Results
Excess energy over the best structure of this formula in the dataset (eV/atom): 0.2033
Mass density (g/cm³): 15.04
Energy of formation (eV/atom): 1.02
DFT total energy (eV per atom): -6.251